Ac3Zn3Ag8 | PBE | relaxed

Calculated volume ... 22.93 Å³/atom
Space-group type ... No. 12
Total DFT energy (no corrections) ... -3.03 eV/atom
Size of the total moment ... 0.0 μB/cell
Formation enthalpy at 0 K ... -243 meV per atom

```
data_Ac3Zn3Ag8
_cell_length_a 4.788
_cell_length_b 8.861
_cell_length_c 8.740
_cell_angle_alpha 66.22
_cell_angle_beta 74.10
_cell_angle_gamma 74.33
_space_group_name_H-M_alt 'P 1'
_space_group_IT_number 1
_space_group_name_Hall 'P 1'
loop_
_atom_site_label
_atom_site_type_symbol
_atom_site_fract_x
_atom_site_fract_y
_atom_site_fract_z
Ac1 Ac 0.297 0.704 0.702
Ac2 Ac 0.703 0.296 0.298
Ac3 Ac 0.000 0.000 0.000
Zn1 Zn 0.000 0.500 0.500
Zn2 Zn 0.664 0.688 0.985
Zn3 Zn 0.336 0.312 0.015
Ag1 Ag 0.125 0.165 0.586
Ag2 Ag 0.875 0.835 0.414
Ag3 Ag 0.868 0.414 0.850
Ag4 Ag 0.132 0.586 0.150
Ag5 Ag 0.503 0.682 0.312
Ag6 Ag 0.497 0.318 0.688
Ag7 Ag 0.339 0.027 0.294
Ag8 Ag 0.661 0.973 0.706
```

La2ZnCdTc | PBE | relaxed

Calculated volume ... 28.99 Å³/atom
Space-group type ... No. 123
Total DFT energy (no corrections) ... -4.52 eV/atom
Size of the total moment ... 0.0 μB/cell
Formation enthalpy at 0 K ... -37 meV per atom

```
data_La2ZnCdTc
_cell_length_a 5.357
_cell_length_b 5.357
_cell_length_c 5.051
_cell_angle_alpha 90.00
_cell_angle_beta 90.00
_cell_angle_gamma 90.00
_space_group_name_H-M_alt 'P 1'
_space_group_IT_number 1
_space_group_name_Hall 'P 1'
loop_
_atom_site_label
_atom_site_type_symbol
_atom_site_fract_x
_atom_site_fract_y
_atom_site_fract_z
Zn1 Zn 0.000 0.000 0.500
Cd1 Cd 0.500 0.500 0.500
Tc1 Tc 0.000 0.000 0.000
La1 La 0.000 0.500 0.000
La2 La 0.500 0.000 0.000
```

Please write out number 2 again, unchanged.
La2ZnCdTc | PBE | relaxed

Calculated volume ... 28.99 Å³/atom
Space-group type ... No. 123
Total DFT energy (no corrections) ... -4.52 eV/atom
Size of the total moment ... 0.0 μB/cell
Formation enthalpy at 0 K ... -37 meV per atom

```
data_La2ZnCdTc
_cell_length_a 5.357
_cell_length_b 5.357
_cell_length_c 5.051
_cell_angle_alpha 90.00
_cell_angle_beta 90.00
_cell_angle_gamma 90.00
_space_group_name_H-M_alt 'P 1'
_space_group_IT_number 1
_space_group_name_Hall 'P 1'
loop_
_atom_site_label
_atom_site_type_symbol
_atom_site_fract_x
_atom_site_fract_y
_atom_site_fract_z
Zn1 Zn 0.000 0.000 0.500
Cd1 Cd 0.500 0.500 0.500
Tc1 Tc 0.000 0.000 0.000
La1 La 0.000 0.500 0.000
La2 La 0.500 0.000 0.000
```